Record 1
Entry from OQMD: a relaxed GdHf3C2S2 crystal (PBE).

VASP energy, eV per atom: -8.95
Symmetry: No. 156

Lattice parameters (Å, degrees): 3.447 3.447 12.406 90.00 90.00 120.00
Fractional coordinates of all 8 atoms:
S 0.000 0.000 0.744
S 0.667 0.333 0.268
Hf 0.667 0.333 0.601
Hf 0.000 0.000 0.408
Hf 0.667 0.333 0.891
C 0.333 0.667 0.505
C 0.333 0.667 0.979
Gd 0.000 0.000 0.102


Record 2
Entry from OQMD: a relaxed GdHfCS crystal (PBE).

Symmetry: No. 164
Relative energy among the computed polymorphs, eV/atom: 0.0494

Lattice parameters (Å, degrees): 3.538 3.538 12.685 90.00 90.00 120.00
Fractional coordinates of all 8 atoms:
S 0.667 0.333 0.772
S 0.333 0.667 0.228
Gd 0.667 0.333 0.390
Gd 0.333 0.667 0.610
C 0.000 0.000 0.500
C 0.000 0.000 0.000
Hf 0.667 0.333 0.093
Hf 0.333 0.667 0.907


Record 3
Entry from OQMD: a relaxed GdHfCSe crystal (PBE).

Symmetry: No. 164
Relative energy among the computed polymorphs, eV/atom: 0.0422

Lattice parameters (Å, degrees): 3.588 3.588 13.094 90.00 90.00 120.00
Fractional coordinates of all 8 atoms:
Gd 0.333 0.667 0.395
Gd 0.667 0.333 0.605
Se 0.333 0.667 0.771
Se 0.667 0.333 0.229
C 0.000 0.000 0.500
C 0.000 0.000 0.000
Hf 0.333 0.667 0.089
Hf 0.667 0.333 0.911


Record 4
Entry from OQMD: a relaxed GdHfCSe crystal (PBE).

Symmetry: No. 186
Relative energy among the computed polymorphs, eV/atom: 0.0000

Lattice parameters (Å, degrees): 3.572 3.572 13.119 90.00 90.00 120.00
Fractional coordinates of all 8 atoms:
Hf 0.333 0.667 0.403
Hf 0.667 0.333 0.903
Gd 0.333 0.667 0.100
Gd 0.667 0.333 0.600
C 0.000 0.000 0.485
C 0.000 0.000 0.985
Se 0.333 0.667 0.762
Se 0.667 0.333 0.262


Record 5
Entry from OQMD: a relaxed GdHfCSe crystal (PBE).

Symmetry: No. 187
Relative energy among the computed polymorphs, eV/atom: 0.0215

Lattice parameters (Å, degrees): 3.583 3.583 13.083 90.00 90.00 120.00
Fractional coordinates of all 8 atoms:
Gd 0.333 0.667 0.843
Gd 0.333 0.667 0.157
Hf 0.667 0.333 0.354
Hf 0.667 0.333 0.646
Se 0.667 0.333 0.000
Se 0.333 0.667 0.500
C 0.000 0.000 0.274
C 0.000 0.000 0.726


Record 6
Entry from OQMD: a relaxed Gd3HfC2Se2 crystal (PBE).

VASP energy, eV per atom: -7.27
Symmetry: No. 156

Lattice parameters (Å, degrees): 3.687 3.687 13.302 90.00 90.00 120.00
Fractional coordinates of all 8 atoms:
Gd 0.667 0.333 0.400
Gd 0.000 0.000 0.605
Gd 0.667 0.333 0.095
C 0.333 0.667 0.982
C 0.333 0.667 0.505
Hf 0.000 0.000 0.902
Se 0.667 0.333 0.766
Se 0.000 0.000 0.245